No. 1
LiPuPaRe PBE optimized geometry; formation enthalpy at 0 K = 188 meV/atom; space-group type = F-43m (216)
1.0
6.890 0.000 0.000
0.000 6.890 0.000
0.000 0.000 6.890
Li Pu Pa Re
4 4 4 4
Direct
0.000 0.000 0.000
0.000 0.500 0.500
0.500 0.000 0.500
0.500 0.500 0.000
0.250 0.250 0.250
0.250 0.750 0.750
0.750 0.250 0.750
0.750 0.750 0.250
0.250 0.250 0.750
0.250 0.750 0.250
0.750 0.250 0.250
0.750 0.750 0.750
0.000 0.000 0.500
0.000 0.500 0.000
0.500 0.000 0.000
0.500 0.500 0.500

***

No. 2
LiPuPaRh PBE optimized geometry; formation enthalpy at 0 K = -275 meV/atom; space-group type = F-43m (216)
1.0
6.662 0.000 0.000
0.000 6.662 0.000
0.000 0.000 6.662
Li Pu Pa Rh
4 4 4 4
Direct
0.000 0.000 0.000
0.000 0.500 0.500
0.500 0.000 0.500
0.500 0.500 0.000
0.250 0.250 0.750
0.250 0.750 0.250
0.750 0.250 0.250
0.750 0.750 0.750
0.000 0.000 0.500
0.000 0.500 0.000
0.500 0.000 0.000
0.500 0.500 0.500
0.250 0.250 0.250
0.250 0.750 0.750
0.750 0.250 0.750
0.750 0.750 0.250

***

No. 3
LiPuPaS4 PBE optimized geometry; space-group type = Imma (74); uncorrected formation energy = -1.56 eV/atom
1.0
-4.260 4.438 4.194
4.260 -4.438 4.194
4.260 4.438 -4.194
Li Pu Pa S
2 2 2 8
Direct
0.000 0.000 0.000
0.500 0.000 0.500
0.407 0.657 0.750
0.593 0.343 0.250
0.000 0.000 0.500
0.000 0.500 0.000
0.134 0.699 0.435
0.236 0.301 0.935
0.305 0.243 0.439
0.305 0.866 0.061
0.695 0.134 0.939
0.695 0.757 0.561
0.764 0.699 0.065
0.866 0.301 0.565

***

No. 4
Li3Pu3PaS8 PBE optimized geometry; space-group type = R-3m (166); uncorrected formation energy = -1.57 eV/atom
1.0
4.007 2.313 6.077
-4.007 2.313 6.077
0.000 -4.627 6.077
Li Pu Pa S
3 3 1 8
Direct
0.000 0.500 0.500
0.500 0.000 0.500
0.500 0.500 0.000
0.000 0.000 0.500
0.000 0.500 0.000
0.500 0.000 0.000
0.500 0.500 0.500
0.249 0.249 0.249
0.258 0.258 0.739
0.258 0.739 0.258
0.261 0.742 0.742
0.739 0.258 0.258
0.742 0.261 0.742
0.742 0.742 0.261
0.751 0.751 0.751

***

No. 5
Li3Pu2PaS6 PBE optimized geometry; space-group type = C2/m (12); uncorrected formation energy = -1.56 eV/atom
1.0
3.425 -5.932 0.000
3.425 5.932 0.000
-2.283 0.000 6.142
Li Pu Pa S
3 2 1 6
Direct
0.000 0.000 0.000
0.334 0.666 0.000
0.666 0.334 0.000
0.167 0.833 0.500
0.833 0.167 0.500
0.500 0.500 0.500
0.090 0.415 0.245
0.258 0.258 0.752
0.415 0.090 0.245
0.585 0.910 0.755
0.742 0.742 0.248
0.910 0.585 0.755

***

No. 6
LiPuPa2S5 PBE optimized geometry; space-group type = I4/mcm (140); uncorrected formation energy = -1.52 eV/atom
1.0
-3.721 3.721 6.625
3.721 -3.721 6.625
3.721 3.721 -6.625
Li Pu Pa S
2 2 4 10
Direct
0.250 0.750 0.500
0.750 0.250 0.500
0.250 0.250 0.000
0.750 0.750 0.000
0.154 0.654 0.807
0.346 0.154 0.500
0.654 0.846 0.500
0.846 0.346 0.193
0.000 0.000 0.000
0.022 0.199 0.500
0.199 0.699 0.177
0.301 0.478 0.500
0.478 0.978 0.177
0.500 0.500 0.000
0.522 0.022 0.823
0.699 0.522 0.500
0.801 0.301 0.823
0.978 0.801 0.500

***

| no. | E_tot (eV per atom) |
| --- | --- |
| 1 | -9.36 |
| 2 | -8.55 |
| 3 | -7.59 |
| 4 | -7.66 |
| 5 | -7.28 |
| 6 | -7.73 |